1.
Material: RbBaTe3
Method: DFT, PBE
State: optimized geometry

Cell and atoms, written as CIF:
```
data_RbBaTe3
_chemical_formula_sum 'Rb4 Ba4 Te12'
_cell_length_a 16.037
_cell_length_b 7.131
_cell_length_c 7.010
_cell_angle_alpha 90.00
_cell_angle_beta 90.00
_cell_angle_gamma 90.00
_space_group_name_H-M_alt 'P n n a'
_space_group_IT_number 52
_space_group_name_Hall '-P 2a 2bc'
loop_
_atom_site_label
_atom_site_fract_x
_atom_site_fract_y
_atom_site_fract_z
Rb1 0.250 0.000 0.075
Ba1 0.001 0.250 0.750
Te1 0.027 0.250 0.250
Te2 0.161 0.559 0.914
```

Spin magnetization = 0.00 μB per formula unit
Density = 5.02 Mg/m³
DFT total energy = -3.409 eV/atom
ΔE_f (raw) = -91.3 kJ per mole of atoms

***

2.
Material: La2Dy4Tm
Method: DFT, PBE
State: optimized geometry

Cell and atoms, written as CIF:
```
data_La2Dy4Tm
_chemical_formula_sum 'La4 Dy8 Tm2'
_cell_length_a 3.455
_cell_length_b 26.639
_cell_length_c 5.556
_cell_angle_alpha 90.00
_cell_angle_beta 90.00
_cell_angle_gamma 90.00
_space_group_name_H-M_alt 'C m m m'
_space_group_IT_number 65
_space_group_name_Hall '-C 2 2'
loop_
_atom_site_label
_atom_site_fract_x
_atom_site_fract_y
_atom_site_fract_z
La1 0.000 0.194 0.000
Dy1 0.000 0.113 0.500
Dy2 0.000 0.428 0.000
Tm1 0.000 0.500 0.500
```

Spin magnetization = 0.00 μB per formula unit
Density = 7.12 Mg/m³
DFT total energy = -4.361 eV/atom
E_form = 315 meV/atom

***

3.
Material: Ag2BrCl
Method: DFT, PBE
State: optimized geometry

Cell and atoms, written as CIF:
```
data_Ag2BrCl
_chemical_formula_sum 'Ag4 Br2 Cl2'
_cell_length_a 3.791
_cell_length_b 3.871
_cell_length_c 14.013
_cell_angle_alpha 90.00
_cell_angle_beta 90.00
_cell_angle_gamma 90.00
_space_group_name_H-M_alt 'I m m 2'
_space_group_IT_number 44
_space_group_name_Hall 'I 2 -2'
loop_
_atom_site_label
_atom_site_fract_x
_atom_site_fract_y
_atom_site_fract_z
Ag1 0.000 0.000 0.000
Ag2 0.000 0.500 0.161
Br1 0.000 0.500 0.711
Cl1 0.000 0.000 0.469
```

Spin magnetization = 0.00 μB per formula unit
Density = 5.35 Mg/m³
DFT total energy = -2.601 eV/atom
ΔE_f (raw) = -28.5 kJ per mole of atoms